[1]
GGA-PBE Tm2TlH, relaxed; raw total energy = -4.04 eV per atom
1.0
-2.132 3.298 6.157
2.132 -3.298 6.157
2.132 3.298 -6.157
Tm Tl H
4 2 2
direct
0.193 0.193 0.000 Tm
0.245 0.500 0.745 Tm
0.755 0.500 0.255 Tm
0.807 0.807 0.000 Tm
0.370 0.870 0.500 Tl
0.630 0.130 0.500 Tl
0.119 0.619 0.500 H
0.881 0.381 0.500 H

[2]
GGA-PBE ErPuAlGe, relaxed; energy of formation = -0.345 eV/atom
1.0
0.000 3.560 3.560
3.560 0.000 3.560
3.560 3.560 0.000
Er Pu Al Ge
1 1 1 1
direct
0.000 0.000 0.000 Er
0.500 0.500 0.500 Pu
0.750 0.750 0.750 Al
0.250 0.250 0.250 Ge

[3]
GGA-PBE Pa2Si3Ir4, relaxed; formation energy from raw total energies = -0.888 eV/atom
1.0
2.829 -7.471 0.000
2.829 7.471 0.000
0.000 0.000 7.140
Pa Si Ir
4 6 8
direct
0.105 0.895 0.902 Pa
0.395 0.605 0.402 Pa
0.605 0.395 0.598 Pa
0.895 0.105 0.098 Pa
0.000 0.000 0.500 Si
0.017 0.483 0.750 Si
0.483 0.017 0.250 Si
0.500 0.500 0.000 Si
0.517 0.983 0.750 Si
0.983 0.517 0.250 Si
0.175 0.825 0.527 Ir
0.182 0.318 0.750 Ir
0.318 0.182 0.250 Ir
0.325 0.675 0.027 Ir
0.675 0.325 0.973 Ir
0.682 0.818 0.750 Ir
0.818 0.682 0.250 Ir
0.825 0.175 0.473 Ir

[4]
GGA-PBE SrCaSi2, relaxed; formation energy from raw total energies = 0.065 eV/atom
1.0
1.876 1.083 9.178
-1.876 1.083 9.178
0.000 -2.167 9.178
Sr Ca Si
1 1 2
direct
0.000 0.000 0.000 Sr
0.500 0.500 0.500 Ca
0.247 0.247 0.247 Si
0.753 0.753 0.753 Si

[5]
GGA-PBE AlRu3, relaxed; energy of formation = 0.061 eV/atom
1.0
4.217 2.435 0.919
-4.217 2.435 0.919
0.000 -4.869 0.919
Al Ru
1 3
direct
0.000 0.000 0.000 Al
0.000 0.500 0.500 Ru
0.500 0.000 0.500 Ru
0.500 0.500 0.000 Ru

[6]
GGA-PBE BaCd3Pb, relaxed; energy of formation = -0.310 eV/atom
1.0
0.000 3.489 6.325
3.465 0.000 6.325
3.465 3.489 0.000
Ba Cd Pb
1 3 1
direct
0.000 0.000 0.000 Ba
0.246 0.246 0.254 Cd
0.621 0.621 0.379 Cd
0.746 0.746 0.754 Cd
0.388 0.388 0.612 Pb

[7]
GGA-PBE TbMg3Ni, relaxed; energy of formation = 0.000 eV/atom
1.0
4.829 0.000 0.000
0.000 4.829 0.000
0.000 0.000 4.829
Tb Mg Ni
1 3 1
direct
0.000 0.000 0.000 Tb
0.000 0.500 0.500 Mg
0.500 0.000 0.500 Mg
0.500 0.500 0.000 Mg
0.500 0.500 0.500 Ni

[8]
GGA-PBE NdP2Pd7, relaxed; energy of formation = -0.597 eV/atom
1.0
-2.041 2.041 10.062
2.041 -2.041 10.062
2.041 2.041 -10.062
Nd P Pd
1 2 7
direct
0.000 0.000 0.000 Nd
0.323 0.323 0.000 P
0.677 0.677 0.000 P
0.111 0.611 0.500 Pd
0.250 0.750 0.500 Pd
0.389 0.889 0.500 Pd
0.500 0.500 0.000 Pd
0.611 0.111 0.500 Pd
0.750 0.250 0.500 Pd
0.889 0.389 0.500 Pd

[9]
GGA-PBE PmPuS4, relaxed; formation energy from raw total energies = -1.359 eV/atom
1.0
4.448 -4.509 0.000
4.448 4.509 0.000
0.000 0.000 4.154
Pm Pu S
1 1 4
direct
0.000 0.000 0.000 Pm
0.500 0.500 0.500 Pu
0.208 0.208 0.500 S
0.317 0.683 0.000 S
0.683 0.317 0.000 S
0.792 0.792 0.500 S

[10]
GGA-PBE Sr2ZnAuSe, relaxed; formation energy from raw total energies = -0.283 eV/atom
1.0
6.010 0.000 0.000
0.000 6.010 0.000
0.000 0.000 5.109
Sr Zn Au Se
2 1 1 1
direct
0.000 0.500 0.000 Sr
0.500 0.000 0.000 Sr
0.000 0.000 0.500 Zn
0.500 0.500 0.000 Au
0.500 0.500 0.500 Se

[11]
GGA-PBE Ca4P5, relaxed; energy of formation = -0.623 eV/atom
1.0
-5.380 5.380 1.885
5.380 -5.380 1.885
5.380 5.380 -1.885
Ca P
4 5
direct
0.000 0.260 0.260 Ca
0.000 0.740 0.740 Ca
0.260 0.000 0.260 Ca
0.740 0.000 0.740 Ca
0.000 0.000 0.000 P
0.294 0.294 0.589 P
0.294 0.706 0.000 P
0.706 0.294 0.000 P
0.706 0.706 0.411 P

[12]
GGA-PBE Tb6DySc6, relaxed; energy of formation = 0.202 eV/atom
1.0
6.304 0.000 0.000
0.000 10.663 0.000
-2.751 0.000 5.676
Tb Dy Sc
6 1 6
direct
0.000 0.168 0.000 Tb
0.000 0.832 0.000 Tb
0.285 0.000 0.716 Tb
0.351 0.500 0.647 Tb
0.649 0.500 0.353 Tb
0.715 0.000 0.284 Tb
0.000 0.500 0.000 Dy
0.000 0.273 0.500 Sc
0.000 0.727 0.500 Sc
0.500 0.212 0.500 Sc
0.500 0.273 0.000 Sc
0.500 0.727 0.000 Sc
0.500 0.788 0.500 Sc

[13]
GGA-PBE CsK2InHg, relaxed; energy of formation = -0.022 eV/atom
1.0
6.948 0.000 0.000
0.000 6.948 0.000
0.000 0.000 5.778
Cs K In Hg
1 2 1 1
direct
0.000 0.000 0.000 Cs
0.000 0.500 0.500 K
0.500 0.000 0.500 K
0.500 0.500 0.500 In
0.500 0.500 0.000 Hg

[14]
GGA-PBE KSr2Re, relaxed; energy of formation = 1.064 eV/atom
1.0
0.000 4.059 4.059
4.059 0.000 4.059
4.059 4.059 0.000
K Sr Re
1 2 1
direct
0.000 0.000 0.000 K
0.250 0.250 0.250 Sr
0.750 0.750 0.750 Sr
0.500 0.500 0.500 Re

[15]
GGA-PBE Ba2NdOsO8, relaxed; formation energy from raw total energies = -1.868 eV/atom
1.0
4.587 0.000 0.000
0.000 7.324 0.000
-0.420 0.000 5.989
Ba Nd Os O
2 1 1 8
direct
0.000 0.243 0.000 Ba
0.000 0.757 0.000 Ba
0.500 0.500 0.500 Nd
0.500 0.000 0.500 Os
0.081 0.500 0.264 O
0.084 0.000 0.405 O
0.449 0.187 0.711 O
0.449 0.813 0.711 O
0.551 0.187 0.289 O
0.551 0.813 0.289 O
0.916 0.000 0.595 O
0.919 0.500 0.736 O